The following is a PBE calculation of a relaxed structure of SiNi2Te, from the Alexandria database.

Output
total magnetic moment: 0.00 μB/f.u.
DFT total energy: -5.0822 eV/atom
E_form (uncorrected): -0.050 eV per atom
D(E_F): 2.390 states/eV/f.u.
polymorph energy (0 for the lowest one): 166 meV per atom

Cell lengths 3.9435, 4.5571, 4.3621 Å; angles 90.00, 116.73, 90.00 degrees
Closest atoms and distances in Å follow each position.
Positions (direct):
1 Si 0.0000 0.0000 0.0000  5 Ni 2.34-2.51
2 Ni 0.6984 0.0000 0.3982  3 Si 2.34-2.51, 2 Te 2.50
3 Ni 0.8810 0.5000 0.7625  3 Te 2.44-2.45, 2 Si 2.46, 2 Ni 2.68
4 Te 0.5672 0.5000 0.1364  5 Ni 2.44-2.50



The following is a PBE calculation of a relaxed structure of AlAsP2, from the Alexandria database.

Output
total magnetic moment: 0.00 μB/f.u.
DFT total energy: -4.3937 eV/atom
ΔH_f (0 K): 409 meV/atom
D(E_F): 2.039 states/eV/f.u.
polymorph energy (0 for the lowest one): 490 meV per atom

Cell lengths 3.1671, 4.4792, 4.4905 Å; angles 90.00, 90.00, 90.00 degrees
Closest atoms and distances in Å follow each position.
Positions (direct):
1 Al 0.0000 0.0000 0.0000  4 As 2.74, 4 P 2.75
2 As 0.5000 0.5000 0.0000  4 Al 2.74, 4 P 2.75
3 P 0.0000 0.5000 0.5000  4 P 2.74, 4 As 2.75
4 P 0.5000 0.0000 0.5000  4 P 2.74, 4 Al 2.75



The following is a PBE calculation of a relaxed structure of InCS2Cl, from the Alexandria database.

Output
total magnetic moment: 0.11 μB/f.u.
DFT total energy: -3.6263 eV/atom
E_form (uncorrected): 0.786 eV per atom
D(E_F): 3.133 states/eV/f.u.
polymorph energy (0 for the lowest one): 0 meV per atom

Cell lengths 4.0029, 4.0029, 6.6239 Å; angles 90.00, 90.00, 90.00 degrees
Closest atoms and distances in Å follow each position.
Positions (direct):
1 In 0.0000 0.0000 0.0000  4 Cl 2.83
2 C 0.5000 0.5000 0.5000  4 S 2.00
3 S 0.0000 0.5000 0.5000  2 C 2.00
4 S 0.5000 0.0000 0.5000  2 C 2.00
5 Cl 0.5000 0.5000 0.0000  4 In 2.83



The following is a PBE calculation of a relaxed structure of Tm2TiPd9, from the Alexandria database.

Output
total magnetic moment: 0.00 μB/f.u.
DFT total energy: -6.1218 eV/atom
ΔH_f (0 K): -824 meV/atom
D(E_F): 9.710 states/eV/f.u.

Cell lengths 4.0383, 4.0383, 12.1065 Å; angles 90.00, 90.00, 90.00 degrees
Closest atoms and distances in Å follow each position.
Positions (direct):
1 Tm 0.0000 0.0000 0.1700  12 Pd 2.86-2.93
2 Tm 0.0000 0.0000 0.8300  12 Pd 2.86-2.93
3 Ti 0.0000 0.0000 0.5000  12 Pd 2.75-2.86
4 Pd 0.0000 0.5000 0.0000  8 Pd 2.86-2.91, 4 Tm 2.88
5 Pd 0.0000 0.5000 0.3456  8 Pd 2.75-2.91, 2 Ti 2.75, 2 Tm 2.93
6 Pd 0.0000 0.5000 0.6544  8 Pd 2.75-2.91, 2 Ti 2.75, 2 Tm 2.93
7 Pd 0.5000 0.0000 0.0000  8 Pd 2.86-2.91, 4 Tm 2.88
8 Pd 0.5000 0.0000 0.3456  8 Pd 2.75-2.91, 2 Ti 2.75, 2 Tm 2.93
9 Pd 0.5000 0.0000 0.6544  8 Pd 2.75-2.91, 2 Ti 2.75, 2 Tm 2.93
10 Pd 0.5000 0.5000 0.1730  4 Tm 2.86, 8 Pd 2.91
11 Pd 0.5000 0.5000 0.5000  8 Pd 2.75, 4 Ti 2.86
12 Pd 0.5000 0.5000 0.8270  4 Tm 2.86, 8 Pd 2.91



The following is a PBE calculation of a relaxed structure of KGeSeBr2, from the Alexandria database.

Output
total magnetic moment: 1.02 μB/f.u.
DFT total energy: -2.1838 eV/atom
E_form (uncorrected): 0.325 eV per atom
D(E_F): 3.764 states/eV/f.u.
polymorph energy (0 for the lowest one): 1034 meV per atom

Cell lengths 5.7748, 5.7748, 5.8727 Å; angles 90.00, 90.00, 90.00 degrees
Closest atoms and distances in Å follow each position.
Positions (direct):
1 K 0.0000 0.0000 0.0000  4 Br 2.89, 2 Se 2.94
2 Ge 0.5000 0.5000 0.5000  4 Se 4.08, 8 Br 4.12
3 Se 0.0000 0.0000 0.5000  2 K 2.94
4 Br 0.0000 0.5000 0.0000  2 K 2.89
5 Br 0.5000 0.0000 0.0000  2 K 2.89



The following is a PBE calculation of a relaxed structure of Tb3Tl4Cd, from the Alexandria database.

Output
total magnetic moment: 0.00 μB/f.u.
DFT total energy: -3.2108 eV/atom
ΔH_f (0 K): -177 meV/atom
D(E_F): 6.324 states/eV/f.u.

Cell lengths 8.4004, 8.4004, 8.4004 Å; angles 155.86, 108.64, 76.57 degrees
Closest atoms and distances in Å follow each position.
Positions (direct):
1 Tb 0.0000 0.0000 0.0000  8 Tl 3.38, 2 Tb 3.51
2 Tb 0.2819 0.7819 0.5000  6 Tl 3.12-3.32, 2 Cd 3.37
3 Tb 0.7181 0.2181 0.5000  6 Tl 3.12-3.32, 2 Cd 3.37
4 Tl 0.1133 0.3731 0.7402  1 Cd 3.05, 5 Tb 3.12-3.38, 1 Tl 3.35
5 Tl 0.3671 0.6269 0.7402  1 Cd 3.05, 5 Tb 3.12-3.38, 1 Tl 3.35
6 Tl 0.6329 0.3731 0.2598  1 Cd 3.05, 5 Tb 3.12-3.38, 1 Tl 3.35
7 Tl 0.8867 0.6269 0.2598  1 Cd 3.05, 5 Tb 3.12-3.38, 1 Tl 3.35
8 Cd 0.5000 0.5000 0.0000  4 Tl 3.05, 4 Tb 3.37